# 1
The following is a DFT calculation (PBE) of an optimized crystal structure of TbNb4O8.

Cell and atoms, written as POSCAR:
```
TbNb4O8
1.0
5.255 0.000 -2.835
-3.392 4.913 0.000
0.257 0.178 6.763
Tb Nb O
1 4 8
Direct
0.000 0.500 0.500 Tb
0.000 0.000 0.000 Nb
0.000 0.500 0.000 Nb
0.500 0.500 0.000 Nb
0.500 0.000 0.000 Nb
0.468 0.734 0.201 O
0.532 0.266 0.799 O
0.492 0.246 0.229 O
0.018 0.264 0.771 O
0.508 0.754 0.771 O
0.018 0.754 0.771 O
0.982 0.246 0.229 O
0.982 0.736 0.229 O
```

SG   R-3m
Calculated volume   179.89 Å³/f.u.
Total DFT energy (no corrections)   -0.653 Ry per atom
Density of states at the Fermi level   0.55 states/eV/atom
Magnetic moment   0.000 μB/f.u.

=====

# 2
The following is a DFT calculation (PBE) of an optimized crystal structure of TbNbO4.

Cell and atoms, written as POSCAR:
```
TbNbO4
1.0
-1.569 1.846 -5.702
-0.210 -6.135 0.840
-4.083 2.519 3.921
Tb Nb O
2 2 8
Direct
0.000 0.000 0.000 Tb
0.250 0.750 0.500 Tb
0.500 0.500 0.000 Nb
0.750 0.250 0.500 Nb
0.317 0.509 0.192 O
0.874 0.683 0.192 O
0.376 0.067 0.308 O
0.491 0.683 0.808 O
0.317 0.126 0.808 O
0.933 0.241 0.308 O
0.933 0.624 0.692 O
0.759 0.067 0.692 O
```

SG   I4_1/amd
Calculated volume   91.05 Å³/f.u.
Total DFT energy (no corrections)   -0.646 Ry per atom
Density of states at the Fermi level   0.00 states/eV/atom
Magnetic moment   0.000 μB/f.u.

=====

# 3
The following is a DFT calculation (PBE) of an optimized crystal structure of TbNbO4.

Cell and atoms, written as POSCAR:
```
TbNbO4
1.0
-5.178 1.520 0.722
-1.675 -4.890 -1.713
0.160 -1.745 4.825
Tb Nb O
2 2 8
Direct
0.500 0.500 0.000 Tb
0.000 0.000 0.000 Tb
0.000 0.500 0.500 Nb
0.500 0.000 0.500 Nb
0.189 0.689 0.258 O
0.811 0.689 0.742 O
0.811 0.311 0.258 O
0.189 0.311 0.742 O
0.689 0.189 0.742 O
0.311 0.189 0.258 O
0.689 0.811 0.258 O
0.311 0.811 0.742 O
```

SG   P4/nbm
Calculated volume   76.10 Å³/f.u.
Total DFT energy (no corrections)   -0.650 Ry per atom
Density of states at the Fermi level   0.00 states/eV/atom
Magnetic moment   0.000 μB/f.u.

=====

# 4
The following is a DFT calculation (PBE) of an optimized crystal structure of Tb3NbO7.

Cell and atoms, written as POSCAR:
```
Tb3NbO7
1.0
7.484 0.000 0.000
0.000 7.605 0.000
0.000 0.000 10.645
Tb Nb O
12 4 28
Direct
0.016 0.798 0.250 Tb
0.249 0.964 0.522 Tb
0.249 0.964 0.978 Tb
0.251 0.464 0.022 Tb
0.251 0.464 0.478 Tb
0.484 0.298 0.750 Tb
0.516 0.702 0.250 Tb
0.749 0.536 0.522 Tb
0.749 0.536 0.978 Tb
0.751 0.036 0.022 Tb
0.751 0.036 0.478 Tb
0.984 0.202 0.750 Tb
0.995 0.747 0.750 Nb
0.505 0.247 0.250 Nb
0.495 0.753 0.750 Nb
0.005 0.253 0.250 Nb
0.038 0.045 0.125 O
0.038 0.045 0.375 O
0.044 0.593 0.609 O
0.044 0.593 0.891 O
0.249 0.341 0.250 O
0.258 0.731 0.116 O
0.258 0.731 0.384 O
0.242 0.231 0.616 O
0.242 0.231 0.884 O
0.251 0.841 0.750 O
0.456 0.093 0.109 O
0.456 0.093 0.391 O
0.462 0.545 0.625 O
0.462 0.545 0.875 O
0.538 0.455 0.125 O
0.538 0.455 0.375 O
0.544 0.907 0.609 O
0.544 0.907 0.891 O
0.749 0.159 0.250 O
0.758 0.769 0.116 O
0.758 0.769 0.384 O
0.742 0.269 0.616 O
0.742 0.269 0.884 O
0.751 0.659 0.750 O
0.956 0.407 0.109 O
0.956 0.407 0.391 O
0.962 0.955 0.625 O
0.962 0.955 0.875 O
```

SG   Pnma
Calculated volume   151.48 Å³/f.u.
Total DFT energy (no corrections)   -0.634 Ry per atom
Relative energy among the computed polymorphs   0.011 eV per atom
Density of states at the Fermi level   0.00 states/eV/atom
Magnetic moment   0.000 μB/f.u.

=====

# 5
The following is a DFT calculation (PBE) of an optimized crystal structure of NbTc3O.

Cell and atoms, written as POSCAR:
```
NbTc3O
1.0
4.100 0.000 0.000
0.000 4.100 0.000
0.000 0.000 4.100
Nb Tc O
1 3 1
Direct
0.500 0.500 0.500 Nb
0.000 0.500 0.000 Tc
0.000 0.000 0.500 Tc
0.500 0.000 0.000 Tc
0.000 0.000 0.000 O
```

SG   Pm-3m
Calculated volume   68.91 Å³/f.u.
Total DFT energy (no corrections)   -0.690 Ry per atom
Relative energy among the computed polymorphs   0.000 eV per atom
Density of states at the Fermi level   0.87 states/eV/atom
Magnetic moment   0.000 μB/f.u.

=====

# 6
The following is a DFT calculation (PBE) of an optimized crystal structure of NbTc2O6.

Cell and atoms, written as POSCAR:
```
NbTc2O6
1.0
-1.907 -4.437 0.838
2.354 -0.200 4.295
-6.689 3.600 3.834
Nb Tc O
2 4 12
Direct
0.500 0.500 0.000 Nb
0.000 0.000 0.500 Nb
0.500 0.500 0.325 Tc
0.500 0.500 0.675 Tc
0.000 0.000 0.175 Tc
0.000 0.000 0.825 Tc
0.717 0.717 0.170 O
0.717 0.717 0.830 O
0.706 0.706 0.500 O
0.794 0.206 0.000 O
0.783 0.217 0.330 O
0.783 0.217 0.670 O
0.217 0.783 0.330 O
0.217 0.783 0.670 O
0.206 0.794 0.000 O
0.294 0.294 0.500 O
0.283 0.283 0.170 O
0.283 0.283 0.830 O
```

SG   P4_2/mnm
Calculated volume   102.22 Å³/f.u.
Total DFT energy (no corrections)   -0.622 Ry per atom
Density of states at the Fermi level   0.49 states/eV/atom
Magnetic moment   0.000 μB/f.u.

=====

# 7
The following is a DFT calculation (PBE) of an optimized crystal structure of NbTc3O.

Cell and atoms, written as POSCAR:
```
NbTc3O
1.0
-1.171 -3.931 2.438
3.767 -2.270 -1.850
2.684 1.471 3.661
Nb Tc O
1 3 1
Direct
0.000 0.000 0.000 Nb
0.000 0.500 0.000 Tc
0.000 0.000 0.500 Tc
0.500 0.000 0.000 Tc
0.500 0.500 0.500 O
```

SG   Pm-3m
Calculated volume   108.63 Å³/f.u.
Total DFT energy (no corrections)   -0.502 Ry per atom
Relative energy among the computed polymorphs   2.562 eV per atom
Density of states at the Fermi level   0.98 states/eV/atom
Magnetic moment   6.033 μB/f.u.

=====

# 8
The following is a DFT calculation (PBE) of an optimized crystal structure of NbTcO4.

Cell and atoms, written as POSCAR:
```
NbTcO4
1.0
-2.897 -0.469 4.883
-2.733 -0.608 -4.962
3.738 -4.298 0.123
Nb Tc O
2 2 8
Direct
0.729 0.729 0.000 Nb
0.479 0.979 0.500 Nb
0.265 0.265 0.000 Tc
0.015 0.515 0.500 Tc
0.253 0.972 0.719 O
0.750 0.453 0.703 O
0.722 0.503 0.219 O
0.203 0.000 0.203 O
0.283 0.503 0.781 O
0.797 0.000 0.797 O
0.750 0.047 0.297 O
0.253 0.533 0.281 O
```

SG   I4_1md
Calculated volume   69.49 Å³/f.u.
Total DFT energy (no corrections)   -0.638 Ry per atom
Density of states at the Fermi level   0.33 states/eV/atom
Magnetic moment   0.001 μB/f.u.

=====

Number 1: formation energy from raw total energies -2.38 eV per atom. Number 2: formation energy from raw total energies -3.03 eV per atom. Number 3: formation energy from raw total energies -3.09 eV per atom. Number 4: formation energy from raw total energies -3.30 eV per atom. Number 5: formation energy from raw total energies -0.16 eV per atom. Number 6: formation energy from raw total energies -1.73 eV per atom. Number 7: formation energy from raw total energies 2.40 eV per atom. Number 8: formation energy from raw total energies -1.97 eV per atom.